1.
Density functional theory data (GGA-PBE) for a relaxed structure of Ba12CaAu6.

The structure in POSCAR format:
```
Ba12CaAu6
1.0
-6.024 6.024 6.024
6.024 -6.024 6.024
6.024 6.024 -6.024
Ba Ca Au
12 1 6
direct
0.137 0.315 0.822 Ba
0.178 0.494 0.315 Ba
0.178 0.863 0.685 Ba
0.315 0.178 0.494 Ba
0.315 0.822 0.137 Ba
0.494 0.315 0.178 Ba
0.506 0.685 0.822 Ba
0.685 0.178 0.863 Ba
0.685 0.822 0.506 Ba
0.822 0.137 0.315 Ba
0.822 0.506 0.685 Ba
0.863 0.685 0.178 Ba
0.000 0.000 0.000 Ca
0.123 0.500 0.623 Au
0.377 0.877 0.500 Au
0.500 0.377 0.877 Au
0.500 0.623 0.123 Au
0.623 0.123 0.500 Au
0.877 0.500 0.377 Au
```

Summary:
Energy of formation ... -0.46 eV per atom
Uncorrected energy ... -2.812 eV/atom
Total magnetization ... 0.00 μB/f.u.

=====

2.
Density functional theory data (GGA-PBE) for a relaxed structure of BaCaAu2.

The structure in POSCAR format:
```
BaCaAu2
1.0
4.541 0.000 0.000
0.000 4.541 0.000
0.000 0.000 6.411
Ba Ca Au
1 1 2
direct
0.000 0.000 0.000 Ba
0.500 0.500 0.500 Ca
0.000 0.000 0.500 Au
0.500 0.500 0.000 Au
```

Summary:
Energy of formation ... -0.64 eV per atom
Uncorrected energy ... -3.255 eV/atom
Total magnetization ... 0.00 μB/f.u.

=====

3.
Density functional theory data (GGA-PBE) for a relaxed structure of Ba2CaAu.

The structure in POSCAR format:
```
Ba2CaAu
1.0
4.361 0.000 0.000
0.000 11.185 0.000
0.000 0.000 7.358
Ba Ca Au
4 2 2
direct
0.250 0.063 0.231 Ba
0.250 0.437 0.231 Ba
0.750 0.563 0.769 Ba
0.750 0.937 0.769 Ba
0.250 0.250 0.732 Ca
0.750 0.750 0.268 Ca
0.250 0.750 0.991 Au
0.750 0.250 0.009 Au
```

Summary:
Energy of formation ... -0.36 eV per atom
Energy relative to the lowest polymorph listed for this composition ... 0.00 eV per formula unit
Uncorrected energy ... -2.642 eV/atom
Total magnetization ... 0.00 μB/f.u.

=====

4.
Density functional theory data (GGA-PBE) for a relaxed structure of BaCa3Au.

The structure in POSCAR format:
```
BaCa3Au
1.0
5.904 0.000 0.000
0.000 5.904 0.000
0.000 0.000 5.904
Ba Ca Au
1 3 1
direct
0.000 0.000 0.000 Ba
0.000 0.500 0.500 Ca
0.500 0.000 0.500 Ca
0.500 0.500 0.000 Ca
0.500 0.500 0.500 Au
```

Summary:
Energy of formation ... -0.34 eV per atom
Energy relative to the lowest polymorph listed for this composition ... 0.00 eV per formula unit
Uncorrected energy ... -2.584 eV/atom
Total magnetization ... 0.00 μB/f.u.

=====

5.
Density functional theory data (GGA-PBE) for a relaxed structure of Ba2CaAu.

The structure in POSCAR format:
```
Ba2CaAu
1.0
8.631 0.000 0.000
0.000 8.631 0.000
0.000 0.000 8.631
Ba Ca Au
8 4 4
direct
0.250 0.250 0.250 Ba
0.250 0.250 0.750 Ba
0.250 0.750 0.250 Ba
0.250 0.750 0.750 Ba
0.750 0.250 0.250 Ba
0.750 0.250 0.750 Ba
0.750 0.750 0.250 Ba
0.750 0.750 0.750 Ba
0.000 0.000 0.000 Ca
0.000 0.500 0.500 Ca
0.500 0.000 0.500 Ca
0.500 0.500 0.000 Ca
0.000 0.000 0.500 Au
0.000 0.500 0.000 Au
0.500 0.000 0.000 Au
0.500 0.500 0.500 Au
```

Summary:
Energy of formation ... -0.09 eV per atom
Energy relative to the lowest polymorph listed for this composition ... 1.10 eV per formula unit
Uncorrected energy ... -2.368 eV/atom
Total magnetization ... 0.00 μB/f.u.

=====

6.
Density functional theory data (GGA-PBE) for a relaxed structure of BaCaAu2.

The structure in POSCAR format:
```
BaCaAu2
1.0
7.088 0.000 0.000
0.000 7.088 0.000
0.000 0.000 13.933
Ba Ca Au
4 4 8
direct
0.000 0.000 0.000 Ba
0.000 0.500 0.250 Ba
0.500 0.000 0.750 Ba
0.500 0.500 0.500 Ba
0.000 0.000 0.500 Ca
0.000 0.500 0.750 Ca
0.500 0.000 0.250 Ca
0.500 0.500 0.000 Ca
0.216 0.250 0.625 Au
0.250 0.716 0.875 Au
0.250 0.784 0.375 Au
0.284 0.250 0.125 Au
0.716 0.750 0.125 Au
0.750 0.216 0.375 Au
0.750 0.284 0.875 Au
0.784 0.750 0.625 Au
```

Summary:
Energy of formation ... -0.32 eV per atom
Uncorrected energy ... -2.935 eV/atom
Total magnetization ... 0.00 μB/f.u.

=====

Q: Look up the total magnetization of the second one.
A: 0.00 μB/f.u.

=====

Q: Among the records above, which one has the highest uncorrected energy?
A: number 5

=====

Q: What is the formula in the sixth record?
A: BaCaAu2